A plane-wave DFT calculation with PBE-GGA was carried out for a relaxed Ba3AgP crystal.

Computed properties:
Crystal system ... cubic
Electronic total energy ... -3.20 eV/atom

a = 6.224 Å, b = 6.224 Å, c = 6.224 Å
α = 90.00°, β = 90.00°, γ = 90.00°
Space group Pm-3m (No. 221)
One atom of each set of equivalent atoms:
Ba: 0.000 0.000 0.500 x3
Ag: 0.500 0.500 0.500 x1
P: 0.000 0.000 0.000 x1

***

A plane-wave DFT calculation with PBE-GGA was carried out for a relaxed MnGe2Bi2Pt7 crystal.

Computed properties:
Crystal system ... tetragonal
Electronic total energy ... -6.05 eV/atom

a = 3.948 Å, b = 3.948 Å, c = 30.717 Å
α = 90.00°, β = 90.00°, γ = 90.00°
Space group I4/mmm (No. 139)
One atom of each set of equivalent atoms:
Mn: 0.000 0.000 0.000 x2
Ge: 0.000 0.000 0.384 x4
Bi: 0.000 0.000 0.211 x4
Pt: 0.000 0.000 0.304 x4
Pt: 0.000 0.000 0.500 x2
Pt: 0.000 0.500 0.065 x8

***

A plane-wave DFT calculation with PBE-GGA was carried out for a relaxed Tb8SiP3S4 crystal.

Computed properties:
Crystal system ... trigonal
Electronic total energy ... -6.46 eV/atom

a = 8.0092 Å, b = 8.0092 Å, c = 19.6018 Å
α = 90.00°, β = 90.00°, γ = 120.00°
Space group R-3m (No. 166, hexagonal axes)
One atom of each set of equivalent atoms:
Tb: 0.0000 0.0000 0.2472 x6
Tb: 0.0006 0.5003 0.7521 x18
Si: 0.0000 0.0000 0.5000 x3
P: 0.0000 0.5000 0.5000 x9
S: 0.0000 0.0000 0.0000 x3
S: 0.0000 0.5000 0.0000 x9

***

A plane-wave DFT calculation with PBE-GGA was carried out for a relaxed LiGaC crystal.

Computed properties:
Crystal system ... tetragonal
Electronic total energy ... -4.25 eV/atom

a = 3.659 Å, b = 3.659 Å, c = 5.424 Å
α = 90.00°, β = 90.00°, γ = 90.00°
Space group P4/nmm (No. 129, origin choice 2)
One atom of each set of equivalent atoms:
Li: 0.250 0.250 0.094 x2
Ga: 0.250 0.750 0.500 x2
C: 0.250 0.250 0.705 x2

***

A plane-wave DFT calculation with PBE-GGA was carried out for a relaxed AlAsCl crystal.

Computed properties:
Crystal system ... triclinic
Electronic total energy ... -4.04 eV/atom

a = 4.034 Å, b = 5.802 Å, c = 7.875 Å
α = 87.82°, β = 89.61°, γ = 69.73°
Space group P-1 (No. 2)
One atom of each set of equivalent atoms:
Al: 0.164 0.175 0.453 x2
As: 0.412 0.677 0.382 x2
Cl: 0.143 0.222 0.183 x2

***

A plane-wave DFT calculation with PBE-GGA was carried out for a relaxed PmSb4 crystal.

Computed properties:
Crystal system ... cubic
Electronic total energy ... -3.61 eV/atom

a = 5.870 Å, b = 5.870 Å, c = 5.870 Å
α = 90.00°, β = 90.00°, γ = 90.00°
Space group Pm-3m (No. 221)
One atom of each set of equivalent atoms:
Pm: 0.000 0.000 0.000 x1
Sb: 0.000 0.000 0.500 x3
Sb: 0.500 0.500 0.500 x1

***

A plane-wave DFT calculation with PBE-GGA was carried out for a relaxed PuTlReO6 crystal.

Computed properties:
Crystal system ... orthorhombic
Electronic total energy ... -8.44 eV/atom

a = 7.426 Å, b = 7.727 Å, c = 10.880 Å
α = 90.00°, β = 90.00°, γ = 90.00°
Space group Imma (No. 74)
One atom of each set of equivalent atoms:
Pu: 0.000 0.000 0.000 x4
Tl: 0.000 0.250 0.340 x4
Re: 0.250 0.250 0.750 x4
O: 0.000 0.250 0.081 x4
O: 0.000 0.250 0.708 x4
O: 0.206 0.074 0.869 x16

***

A plane-wave DFT calculation with PBE-GGA was carried out for a relaxed Ca2Al6Pd9 crystal.

Computed properties:
Crystal system ... hexagonal
Electronic total energy ... -5.03 eV/atom

a = 5.6744 Å, b = 5.6744 Å, c = 11.6291 Å
α = 90.00°, β = 90.00°, γ = 120.00°
Space group P6/mmm (No. 191)
One atom of each set of equivalent atoms:
Ca: 0.0000 0.0000 0.1935 x2
Al: 0.3333 0.6667 0.1657 x4
Al: 0.3333 0.6667 0.5000 x2
Pd: 0.0000 0.5000 0.0000 x3
Pd: 0.0000 0.5000 0.3323 x6

***

A plane-wave DFT calculation with PBE-GGA was carried out for a relaxed TbScCdNi crystal.

Computed properties:
Crystal system ... tetragonal
Electronic total energy ... -4.79 eV/atom

a = 3.348 Å, b = 3.348 Å, c = 7.456 Å
α = 90.00°, β = 90.00°, γ = 90.00°
Space group P4mm (No. 99)
One atom of each set of equivalent atoms:
Tb: 0.000 0.000 0.000 x1
Sc: 0.000 0.000 0.577 x1
Cd: 0.500 0.500 0.311 x1
Ni: 0.500 0.500 0.758 x1

***

A plane-wave DFT calculation with PBE-GGA was carried out for a relaxed LaYZnCu crystal.

Computed properties:
Crystal system ... tetragonal
Electronic total energy ... -4.44 eV/atom

a = 3.602 Å, b = 3.602 Å, c = 7.321 Å
α = 90.00°, β = 90.00°, γ = 90.00°
Space group P4mm (No. 99)
One atom of each set of equivalent atoms:
La: 0.000 0.000 0.000 x1
Y: 0.000 0.000 0.486 x1
Zn: 0.500 0.500 0.722 x1
Cu: 0.500 0.500 0.275 x1

***

A plane-wave DFT calculation with PBE-GGA was carried out for a relaxed Ce2Nd3PuSe6 crystal.

Computed properties:
Crystal system ... monoclinic
Electronic total energy ... -6.91 eV/atom

a = 7.274 Å, b = 12.605 Å, c = 7.308 Å
α = 90.00°, β = 109.37°, γ = 90.00°
Space group C2/m (No. 12)
One atom of each set of equivalent atoms:
Ce: 0.000 0.166 0.000 x4
Nd: 0.000 0.000 0.500 x2
Nd: 0.000 0.333 0.500 x4
Pu: 0.000 0.500 0.000 x2
Se: 0.247 0.335 0.246 x8
Se: 0.248 0.500 0.754 x4

***

A plane-wave DFT calculation with PBE-GGA was carried out for a relaxed Zr2TaTi2Rh5 crystal.

Computed properties:
Crystal system ... tetragonal
Electronic total energy ... -8.67 eV/atom

a = 9.486 Å, b = 9.486 Å, c = 3.724 Å
α = 90.00°, β = 90.00°, γ = 90.00°
Space group P4/mbm (No. 127)
One atom of each set of equivalent atoms:
Zr: 0.177 0.323 0.000 x4
Ta: 0.000 0.000 0.000 x2
Ti: 0.123 0.623 0.000 x4
Rh: 0.000 0.500 0.500 x2
Rh: 0.061 0.798 0.500 x8